# Tb3Pr2Dy6Pb (PBE, optimized geometry)
data_Tb3Pr2Dy6Pb
_chemical_formula_sum 'Tb6 Pr4 Dy12 Pb2'
_cell_length_a 6.1266
_cell_length_b 10.6163
_cell_length_c 11.8011
_cell_angle_alpha 90.00
_cell_angle_beta 100.02
_cell_angle_gamma 90.00
_symmetry_space_group_name_H-M 'C 1 2/m 1'
_symmetry_Int_Tables_number 12
loop_
_symmetry_equiv_pos_as_xyz
'x,y,z'
'-x,-y,-z'
'-x,y,-z'
'x,-y,z'
'x+1/2,y+1/2,z'
'-x+1/2,-y+1/2,-z'
'-x+1/2,y+1/2,-z'
'x+1/2,-y+1/2,z'
loop_
_atom_site_label
_atom_site_fract_x
_atom_site_fract_y
_atom_site_fract_z
_atom_site_occupancy
Tb1 0.0000 0.0000 0.0000 1
Tb2 0.0000 0.3324 0.0000 1
Pr1 0.0000 0.1661 0.5000 1
Dy1 0.2430 0.5000 0.2480 1
Dy2 0.2461 0.3368 0.7509 1
Pb1 0.0000 0.5000 0.5000 1
# - energy of formation (kJ/mol of formula units) = -80
# - electronic total energy (eV/atom) = -4.634
# - total moment (μB per atom) = 0.000

# CdSiRh (PBE, optimized geometry)
data_CdSiRh
_chemical_formula_sum 'Cd1 Si1 Rh1'
_cell_length_a 3.0062
_cell_length_b 3.0062
_cell_length_c 6.4741
_cell_angle_alpha 90.00
_cell_angle_beta 90.00
_cell_angle_gamma 120.00
_symmetry_space_group_name_H-M 'P 3 m 1'
_symmetry_Int_Tables_number 156
loop_
_symmetry_equiv_pos_as_xyz
'x,y,z'
'-y,x-y,z'
'-x+y,-x,z'
'-y,-x,z'
'-x+y,y,z'
'x,x-y,z'
loop_
_atom_site_label
_atom_site_fract_x
_atom_site_fract_y
_atom_site_fract_z
_atom_site_occupancy
Cd1 0.0000 0.0000 0.0000 1
Si1 0.3333 0.6667 0.6124 1
Rh1 0.6667 0.3333 0.3606 1
# - electronic total energy (eV/atom) = -4.734
# - ΔE_f (raw) (meV per atom) = -171
# - total moment (μB per atom) = 0.000